Arrangement A

# LiHfV3

LiHfV3 after structural relaxation (PBE-GGA, Alexandria via LeMat-Bulk).

abc: 4.766 4.766 4.766
angles: 90.00 90.00 90.00
Space group Pm-3m (No. 221)
Symmetry-distinct sites (fractional):
Li  0.000  0.000  0.000
Hf  0.500  0.500  0.500
V  0.000  0.500  0.500

## Properties
Density of states at the Fermi level (states/eV/cell): 6.67
Density (g cm⁻³): 5.19

***

Arrangement B

# LiHfV3

LiHfV3 after structural relaxation (PBE-GGA, Alexandria via LeMat-Bulk).

abc: 4.264 4.264 4.264
angles: 90.00 90.00 90.00
Space group Pm-3m (No. 221)
Symmetry-distinct sites (fractional):
Li  0.000  0.000  0.000
Hf  0.500  0.500  0.500
V  0.000  0.000  0.500

## Properties
Density of states at the Fermi level (states/eV/cell): 9.61
Density (g cm⁻³): 7.25

***

The most stable arrangement is arrangement B, and the next structure is 0.609 eV/atom less stable.

***

Arrangement A

# LiHf2V

LiHf2V after structural relaxation (PBE-GGA, Alexandria via LeMat-Bulk).

abc: 6.630 6.630 6.630
angles: 90.00 90.00 90.00
Space group Fm-3m (No. 225)
Symmetry-distinct sites (fractional):
Li  0.000  0.000  0.000
Hf  0.250  0.250  0.250
V  0.000  0.000  0.500

## Properties
Density of states at the Fermi level (states/eV/cell): 14.21
Density (g cm⁻³): 9.45

***

Arrangement B

# LiHf2V

LiHf2V after structural relaxation (PBE-GGA, Alexandria via LeMat-Bulk).

abc: 7.042 7.042 11.656
angles: 90.00 90.00 90.00
Space group I-42d (No. 122)
Symmetry-distinct sites (fractional):
Li  0.000  0.000  0.000
Hf  0.001  0.250  0.625
V  0.000  0.000  0.500

## Properties
Density of states at the Fermi level (states/eV/cell): 5.73
Density (g cm⁻³): 4.77

***

The most stable arrangement is arrangement A, and the next structure is 1.477 eV/atom less stable.

***

Arrangement A

# LiHf3W

LiHf3W after structural relaxation (PBE-GGA, Alexandria via LeMat-Bulk).

abc: 4.573 4.573 4.573
angles: 90.00 90.00 90.00
Space group Pm-3m (No. 221)
Symmetry-distinct sites (fractional):
Li  0.000  0.000  0.000
Hf  0.000  0.000  0.500
W  0.500  0.500  0.500

## Properties
Density of states at the Fermi level (states/eV/cell): 9.87
Density (g cm⁻³): 12.61

***

Arrangement B

# LiHf3W

LiHf3W after structural relaxation (PBE-GGA, Alexandria via LeMat-Bulk).

abc: 5.119 5.119 5.119
angles: 90.00 90.00 90.00
Space group Pm-3m (No. 221)
Symmetry-distinct sites (fractional):
Li  0.000  0.000  0.000
Hf  0.000  0.500  0.500
W  0.500  0.500  0.500

## Properties
Density of states at the Fermi level (states/eV/cell): 4.82
Density (g cm⁻³): 8.99

***

The most stable arrangement is arrangement B, and the next structure is 0.218 eV/atom less stable.

***

Arrangement A

# LiYHf2

LiYHf2 after structural relaxation (PBE-GGA, Alexandria via LeMat-Bulk).

abc: 4.148 4.148 22.141
angles: 90.00 90.00 90.00
Space group I-42d (No. 122)
Symmetry-distinct sites (fractional):
Li  0.000  0.000  0.000
Y  0.000  0.000  0.500
Hf  0.243  0.750  0.125

## Properties
Density of states at the Fermi level (states/eV/cell): 22.25
Density (g cm⁻³): 7.89

***

Arrangement B

# LiYHf2

LiYHf2 after structural relaxation (PBE-GGA, Alexandria via LeMat-Bulk).

abc: 7.144 7.144 7.144
angles: 90.00 90.00 90.00
Space group Fm-3m (No. 225)
Symmetry-distinct sites (fractional):
Li  0.000  0.000  0.000
Y  0.000  0.000  0.500
Hf  0.250  0.250  0.250

## Properties
Density of states at the Fermi level (states/eV/cell): 31.35
Density (g cm⁻³): 8.25

***

The most stable arrangement is arrangement B, and the next structure is 0.048 eV/atom less stable.

***

Arrangement A

# LiY3Hf

LiY3Hf after structural relaxation (PBE-GGA, Alexandria via LeMat-Bulk).

abc: 5.236 5.236 5.236
angles: 90.00 90.00 90.00
Space group Pm-3m (No. 221)
Symmetry-distinct sites (fractional):
Li  0.000  0.000  0.000
Y  0.000  0.000  0.500
Hf  0.500  0.500  0.500

## Properties
Density of states at the Fermi level (states/eV/cell): 7.89
Density (g cm⁻³): 5.23

***

Arrangement B

# LiY3Hf

LiY3Hf after structural relaxation (PBE-GGA, Alexandria via LeMat-Bulk).

abc: 5.656 5.656 5.656
angles: 90.00 90.00 90.00
Space group Pm-3m (No. 221)
Symmetry-distinct sites (fractional):
Li  0.000  0.000  0.000
Y  0.000  0.500  0.500
Hf  0.500  0.500  0.500

## Properties
Density of states at the Fermi level (states/eV/cell): 2.77
Density (g cm⁻³): 4.15

***

The most stable arrangement is arrangement B, and the next structure is 0.051 eV/atom less stable.

***

Arrangement A

# Li3YHf

Li3YHf after structural relaxation (PBE-GGA, Alexandria via LeMat-Bulk).

abc: 4.801 4.801 4.801
angles: 90.00 90.00 90.00
Space group Pm-3m (No. 221)
Symmetry-distinct sites (fractional):
Li  0.000  0.000  0.500
Y  0.000  0.000  0.000
Hf  0.500  0.500  0.500

## Properties
Density of states at the Fermi level (states/eV/cell): 7.33
Density (g cm⁻³): 4.32

***

Arrangement B

# Li3YHf

Li3YHf after structural relaxation (PBE-GGA, Alexandria via LeMat-Bulk).

abc: 5.023 5.023 5.023
angles: 90.00 90.00 90.00
Space group Pm-3m (No. 221)
Symmetry-distinct sites (fractional):
Li  0.000  0.000  0.500
Y  0.500  0.500  0.500
Hf  0.000  0.000  0.000

## Properties
Density of states at the Fermi level (states/eV/cell): 6.75
Density (g cm⁻³): 3.78

***

The most stable arrangement is arrangement B, and the next structure is 0.211 eV/atom less stable.

***

Arrangement A

# Li2HfZn2

Li2HfZn2 after structural relaxation (PBE-GGA, Alexandria via LeMat-Bulk).

abc: 7.630 7.630 2.805
angles: 90.00 90.00 90.00
Space group P4/mbm (No. 127)
Symmetry-distinct sites (fractional):
Li  0.166  0.334  0.000
Hf  0.000  0.000  0.500
Zn  0.131  0.631  0.500

## Properties
Density of states at the Fermi level (states/eV/cell): 6.73
Density (g cm⁻³): 6.57

***

Arrangement B

# Li2HfZn2

Li2HfZn2 after structural relaxation (PBE-GGA, Alexandria via LeMat-Bulk).

abc: 7.574 7.574 2.744
angles: 90.00 90.00 90.00
Space group P4/mbm (No. 127)
Symmetry-distinct sites (fractional):
Li  0.116  0.384  0.000
Hf  0.000  0.000  0.000
Zn  0.184  0.684  0.500

## Properties
Density of states at the Fermi level (states/eV/cell): 9.20
Density (g cm⁻³): 6.82

***

Arrangement C

# Li2HfZn2

Li2HfZn2 after structural relaxation (PBE-GGA, Alexandria via LeMat-Bulk).

abc: 3.602 3.602 12.866
angles: 90.00 90.00 90.00
Space group I4/mmm (No. 139)
Symmetry-distinct sites (fractional):
Li  0.000  0.500  0.250
Hf  0.000  0.000  0.000
Zn  0.000  0.000  0.399

## Properties
Density of states at the Fermi level (states/eV/cell): 5.01
Density (g cm⁻³): 6.43

***

The most stable arrangement is arrangement B, and the next structure is 0.048 eV/atom less stable.

***

Arrangement A

# LiHfZn

LiHfZn after structural relaxation (PBE-GGA, Alexandria via LeMat-Bulk).

abc: 4.5939 4.5939 2.7965
angles: 90.00 90.00 120.00
Space group P-6m2 (No. 187)
Symmetry-distinct sites (fractional):
Li  0.0000  0.0000  0.0000
Hf  0.6667  0.3333  0.5000
Zn  0.3333  0.6667  0.0000

## Properties
Density of states at the Fermi level (states/eV/cell): 1.51
Density (g cm⁻³): 8.15

***

Arrangement B

# LiHfZn

LiHfZn after structural relaxation (PBE-GGA, Alexandria via LeMat-Bulk).

abc: 2.952 2.952 12.266
angles: 90.00 90.00 90.00
Space group I4mm (No. 107)
Symmetry-distinct sites (fractional):
Li  0.000  0.000  0.000
Hf  0.000  0.000  0.697
Zn  0.000  0.000  0.358

## Properties
Density of states at the Fermi level (states/eV/cell): 5.25
Density (g cm⁻³): 7.79

***

Arrangement C

# LiHfZn

LiHfZn after structural relaxation (PBE-GGA, Alexandria via LeMat-Bulk).

abc: 3.0754 3.0754 45.2782
angles: 90.00 90.00 120.00
Space group R-3m (No. 166, hexagonal axes)
Symmetry-distinct sites (fractional):
Li  0.0000  0.0000  0.1950
Hf  0.0000  0.0000  0.3608
Zn  0.0000  0.0000  0.2532

## Properties
Density of states at the Fermi level (states/eV/cell): 12.07
Density (g cm⁻³): 6.74

***

The most stable arrangement is arrangement A, and the next structure is 0.029 eV/atom less stable.

***

Arrangement A

# LiHfZn4

LiHfZn4 after structural relaxation (PBE-GGA, Alexandria via LeMat-Bulk).

abc: 7.278 7.278 7.278
angles: 90.00 90.00 90.00
Space group F-43m (No. 216)
Symmetry-distinct sites (fractional):
Li  0.000  0.000  0.000
Hf  0.250  0.250  0.250
Zn  0.125  0.125  0.625

## Properties
Density of states at the Fermi level (states/eV/cell): 10.17
Density (g cm⁻³): 7.70

***

Arrangement B

# LiHfZn4

LiHfZn4 after structural relaxation (PBE-GGA, Alexandria via LeMat-Bulk).

abc: 2.812 4.700 7.747
angles: 90.00 90.00 90.00
Space group Pmmm (No. 47)
Symmetry-distinct sites (fractional):
Li  0.000  0.000  0.000
Hf  0.500  0.500  0.500
Zn  0.000  0.500  0.168
Zn  0.500  0.000  0.312

## Properties
Density of states at the Fermi level (states/eV/cell): 2.02
Density (g cm⁻³): 7.25

***

The most stable arrangement is arrangement A, and the next structure is 0.170 eV/atom less stable.

***

Arrangement A

# LiHf2Zn2

LiHf2Zn2 after structural relaxation (PBE-GGA, Alexandria via LeMat-Bulk).

abc: 8.318 8.318 2.866
angles: 90.00 90.00 90.00
Space group P4/mbm (No. 127)
Symmetry-distinct sites (fractional):
Li  0.000  0.000  0.000
Hf  0.129  0.371  0.000
Zn  0.168  0.668  0.500

## Properties
Density of states at the Fermi level (states/eV/cell): 5.17
Density (g cm⁻³): 8.29

***

Arrangement B

# LiHf2Zn2

LiHf2Zn2 after structural relaxation (PBE-GGA, Alexandria via LeMat-Bulk).

abc: 6.413 6.413 4.349
angles: 90.00 90.00 90.00
Space group P4/mbm (No. 127)
Symmetry-distinct sites (fractional):
Li  0.000  0.000  0.000
Hf  0.169  0.331  0.500
Zn  0.137  0.637  0.000

## Properties
Density of states at the Fermi level (states/eV/cell): 8.48
Density (g cm⁻³): 9.19

***

The most stable arrangement is arrangement B, and the next structure is 0.167 eV/atom less stable.

***

Arrangement A

# LiHfZr

LiHfZr after structural relaxation (PBE-GGA, Alexandria via LeMat-Bulk).

abc: 3.1499 3.1499 7.8508
angles: 90.00 90.00 120.00
Space group P3m1 (No. 156)
Symmetry-distinct sites (fractional):
Li  0.0000  0.0000  0.0000
Hf  0.6667  0.3333  0.3400
Zr  0.3333  0.6667  0.6518

## Properties
Density of states at the Fermi level (states/eV/cell): 2.90
Density (g cm⁻³): 6.81

***

Arrangement B

# LiHfZr

LiHfZr after structural relaxation (PBE-GGA, Alexandria via LeMat-Bulk).

abc: 3.202 3.202 12.521
angles: 90.00 90.00 90.00
Space group I4mm (No. 107)
Symmetry-distinct sites (fractional):
Li  0.000  0.000  0.000
Hf  0.000  0.000  0.332
Zr  0.000  0.000  0.671

## Properties
Density of states at the Fermi level (states/eV/cell): 2.50
Density (g cm⁻³): 7.16

***

The most stable arrangement is arrangement B, and the next structure is 0.039 eV/atom less stable.

***

Arrangement A

# LiHfZr

LiHfZr after structural relaxation (PBE-GGA, Alexandria via LeMat-Bulk).

abc: 3.128 3.128 13.268
angles: 90.00 90.00 90.00
Space group P4/nmm (No. 129, origin choice 2)
Symmetry-distinct sites (fractional):
Li  0.250  0.250  0.070
Hf  0.250  0.250  0.755
Zr  0.250  0.250  0.409

## Properties
Density of states at the Fermi level (states/eV/cell): 7.43
Density (g cm⁻³): 7.08

***

Arrangement B

# LiHfZr

LiHfZr after structural relaxation (PBE-GGA, Alexandria via LeMat-Bulk).

abc: 2.934 5.081 8.802
angles: 90.00 90.04 90.00
Space group P2_1/m (No. 11)
Symmetry-distinct sites (fractional):
Li  0.011  0.250  0.417
Hf  0.001  0.750  0.926
Zr  0.497  0.250  0.757

## Properties
Density of states at the Fermi level (states/eV/cell): 5.48
Density (g cm⁻³): 7.00

***

The most stable arrangement is arrangement A, and the next structure is 0.080 eV/atom less stable.

***

Arrangement A

# LuHf2

LuHf2 after structural relaxation (PBE-GGA, Alexandria via LeMat-Bulk).

abc: 3.158 3.158 14.745
angles: 90.00 90.00 90.00
Space group I4/mmm (No. 139)
Symmetry-distinct sites (fractional):
Lu  0.000  0.000  0.000
Hf  0.000  0.000  0.322

## Properties
Density of states at the Fermi level (states/eV/cell): 7.74
Density (g cm⁻³): 12.01

***

Arrangement B

# LuHf2

LuHf2 after structural relaxation (PBE-GGA, Alexandria via LeMat-Bulk).

abc: 8.496 8.496 8.496
angles: 90.00 90.00 90.00
Space group Fd-3m (No. 227, origin choice 2)
Symmetry-distinct sites (fractional):
Lu  0.125  0.125  0.125
Hf  0.000  0.000  0.500

## Properties
Density of states at the Fermi level (states/eV/cell): 60.14
Density (g cm⁻³): 11.52

***

The most stable arrangement is arrangement A, and the next structure is 0.191 eV/atom less stable.